# BaCrOs4

A geometry-optimized BaCrOs4 structure (GGA-PBE, the Alexandria database).

abc: 5.397 5.397 5.397
angles: 60.00 60.00 60.00
Last column: magnetic moment on the atom in μB.
Element x y z (fractional)
Ba: 0.750 0.750 0.750  0.03
Cr: 0.000 0.000 0.000  3.42
Os: 0.879 0.374 0.374  -0.56
Os: 0.374 0.374 0.879  -0.56
Os: 0.374 0.879 0.374  -0.56
Os: 0.374 0.374 0.374  -0.56

Total moment in Bohr magnetons per cell: 1.5
Space group: F-43m, No. 216
Energy of formation in eV per atom: 0.928
DOS(E_F) in states/eV/cell: 7.08